Compound: MgHgAu2
Source: the Alexandria database
Functional: GGA-PBEsol
Structure: relaxed

Computed properties:
Energy of formation from the pure elements ... -0.18 eV per atom
Total moment ... 0.00 μB per cell

Cell: 3.0487 3.0487 9.3040 Å, 80.57 80.57 60.00°
Positions (direct):
Au  0.7438  0.7438  0.7687
Mg  0.0000  0.0000  0.0000
Au  0.2562  0.2562  0.2313
Hg  0.5000  0.5000  0.5000